No. 1
Entry from Alexandria via LeMat-Bulk: Fe2Re2O after structural relaxation (GGA+U).

Unit cell a=5.6401 b=5.6401 c=4.4058 alpha=90.00 beta=90.00 gamma=90.00
With the nearest neighbours (Å) after each atom.
Space group P4/mbm (No. 127)
Inequivalent atoms, fractional coordinates:
Fe (0.1601, 0.3399, 0.0000) (multiplicity 4)  1 Fe 2.55, 6 Re 2.65-2.83
Re (0.1560, 0.6560, 0.5000) (multiplicity 4)  2 O 2.13
O (0.0000, 0.0000, 0.5000) (multiplicity 2)  4 Re 2.13

Computed properties:
- DFT total energy (eV per atom) = -7.5794
- V (A^3/atom) = 14.02
- total magnetization (Bohr magnetons per cell) = 11.44

No. 2
Entry from Alexandria via LeMat-Bulk: FeReO4 after structural relaxation (GGA+U).

Unit cell a=12.2445 b=5.0684 c=5.5771 alpha=90.00 beta=90.45 gamma=90.00
With the nearest neighbours (Å) after each atom.
Space group C2/c (No. 15)
Inequivalent atoms, fractional coordinates:
Fe (0.0000, 0.0113, 0.2500) (multiplicity 4)  4 O 1.98-1.99
Re (0.2500, 0.2500, 0.0000) (multiplicity 4)  6 O 1.91-1.93
O (0.0977, 0.1490, 0.9981) (multiplicity 8)  1 Re 1.93, 2 Fe 1.98-1.99
O (0.2234, 0.4993, 0.7488) (multiplicity 8)  2 Re 1.91

Computed properties:
- DFT total energy (eV per atom) = -7.7739
- V (A^3/atom) = 14.42
- total magnetization (Bohr magnetons per cell) = 13.48